No. 1
Here is LaReMo2 at its PBEsol-relaxed geometry from the Alexandria database. Energies are from SCAN.

The structure in extended XYZ format:
```
4
Lattice="-0.875 -1.520 2.681 1.025 -3.953 -1.908 4.584 0.366 1.703" Properties=species:S:1:pos:R:3 pbc="T T T"
La 2.804 -1.793 -0.102
Mo 0.000 0.000 0.000
Mo 1.854 -0.577 2.192
Re 0.075 -2.737 0.387
```

Values from the calculation:
DFT total energy   -45.2563 eV per atom
Density   12.124 Mg/m³
E above lowest polymorph   25 kJ/mol of formula units
Total magnetization   0.000 μB per cell
DOS at the Fermi energy   3.18 states/eV/f.u.
Calculated formation energy   284 kJ/mol of formula units



No. 2
Here is BiSbRu2 at its PBEsol-relaxed geometry from the Alexandria database. Energies are from SCAN.

The structure in extended XYZ format:
```
4
Lattice="4.652 0.000 0.000 2.326 4.029 0.000 2.326 1.343 3.798" Properties=species:S:1:pos:R:3 pbc="T T T"
Sb 0.000 0.000 0.000
Bi 4.652 2.686 1.899
Ru 2.326 1.343 0.950
Ru 6.978 4.029 2.849
```

Values from the calculation:
DFT total energy   -45.9706 eV per atom
Density   12.429 Mg/m³
Total magnetization   1.448 μB per cell
DOS at the Fermi energy   2.33 states/eV/f.u.
Uncorrected formation energy   0.40 eV per atom



No. 3
Here is RbZrCd2W at its PBEsol-relaxed geometry from the Alexandria database. Energies are from SCAN.

The structure in extended XYZ format:
```
5
Lattice="5.133 0.000 0.000 0.000 5.196 0.000 0.000 0.000 5.196" Properties=species:S:1:pos:R:3 pbc="T T T"
Rb 0.000 0.000 0.000
Zr 2.567 0.000 0.000
W 2.567 2.598 2.598
Cd 0.000 0.000 2.598
Cd 0.000 2.598 0.000
```

Values from the calculation:
DFT total energy   -33.6814 eV per atom
Density   7.015 Mg/m³
Total magnetization   1.750 μB per cell
DOS at the Fermi energy   3.27 states/eV/f.u.
Calculated formation energy   1307 kJ/mol of formula units



No. 4
Here is Li2ZnIn at its PBEsol-relaxed geometry from the Alexandria database. Energies are from SCAN.

The structure in extended XYZ format:
```
4
Lattice="-0.201 -2.594 2.099 1.442 -2.689 -3.186 4.163 0.711 1.277" Properties=species:S:1:pos:R:3 pbc="T T T"
Zn -0.101 -1.297 1.049
In 2.702 -2.287 0.095
Li 2.081 0.355 0.639
Li 0.721 -1.345 -1.593
```

Values from the calculation:
DFT total energy   -13.1858 eV per atom
Density   4.954 Mg/m³
Total magnetization   0.000 μB per cell
DOS at the Fermi energy   1.18 states/eV/f.u.
Calculated formation energy   -102 kJ/mol of formula units